# 1
Density functional theory data (GGA-PBE) for NaCeSn2S4 after structural relaxation.

The structure in CIF format:
```
data_NaCeSn2S4
_space_group_name_H-M_alt 'P 1 2/m 1'
_space_group_IT_number 10
_cell_length_a 7.0142
_cell_length_b 4.1352
_cell_length_c 7.2552
_cell_angle_alpha 90.00
_cell_angle_beta 108.53
_cell_angle_gamma 90.00
loop_
_space_group_symop_operation_xyz
'x,y,z'
'-x,-y,-z'
'-x,y,-z'
'x,-y,z'
loop_
_atom_site_label
_atom_site_fract_x
_atom_site_fract_y
_atom_site_fract_z
_atom_site_occupancy
Na1 0.0000 0.0000 0.0000 1
Ce1 0.5000 0.5000 0.0000 1
Sn1 0.0000 0.5000 0.5000 1
Sn2 0.5000 0.0000 0.5000 1
S1 0.2598 0.0000 0.7601 1
S2 0.2602 0.5000 0.2467 1
```

Its formation energy without anion corrections is -1.02 eV per atom. As for the crystal system: monoclinic. The raw total energy is -4.99 eV per atom.

---

# 2
Density functional theory data (GGA-PBE) for CeNdTm after structural relaxation.

The structure in CIF format:
```
data_CeNdTm
_space_group_name_H-M_alt 'P -1'
_space_group_IT_number 2
_cell_length_a 3.5152
_cell_length_b 6.1121
_cell_length_c 8.7401
_cell_angle_alpha 90.32
_cell_angle_beta 90.03
_cell_angle_gamma 90.01
loop_
_space_group_symop_operation_xyz
'x,y,z'
'-x,-y,-z'
loop_
_atom_site_label
_atom_site_fract_x
_atom_site_fract_y
_atom_site_fract_z
_atom_site_occupancy
Ce1 0.2485 0.2422 0.0029 1
Nd1 0.2508 0.5842 0.3233 1
Tm1 0.2498 0.9168 0.6689 1
```

As for the crystal system: triclinic. The raw total energy is -5.01 eV per atom. Its relative energy among the computed polymorphs is 0 meV/atom. The value obtained for the energy of formation from the pure elements is 4.6 kJ per mole of atoms.

---

# 3
Density functional theory data (GGA-PBE) for NaLaNb2 after structural relaxation.

The structure in CIF format:
```
data_NaLaNb2
_space_group_name_H-M_alt 'F m -3 m'
_space_group_IT_number 225
_space_group_name_Hall '-F 4 2 3'
_cell_length_a 7.1363
_cell_length_b 7.1363
_cell_length_c 7.1363
_cell_angle_alpha 90.00
_cell_angle_beta 90.00
_cell_angle_gamma 90.00
loop_
_atom_site_label
_atom_site_fract_x
_atom_site_fract_y
_atom_site_fract_z
_atom_site_occupancy
Na1 0.0000 0.0000 0.0000 1
La1 0.0000 0.0000 0.5000 1
Nb1 0.2500 0.2500 0.2500 1
```

As for the crystal system: cubic. The raw total energy is -5.49 eV per atom. Its relative energy among the computed polymorphs is 0 meV/atom. The value obtained for the energy of formation from the pure elements is 106.4 kJ per mole of atoms.

---

# 4
Density functional theory data (GGA-PBE) for LiTaPS2 after structural relaxation.

The structure in CIF format:
```
data_LiTaPS2
_space_group_name_H-M_alt 'P 4/m m m'
_space_group_IT_number 123
_space_group_name_Hall '-P 4 2'
_cell_length_a 4.2937
_cell_length_b 4.2937
_cell_length_c 4.2458
_cell_angle_alpha 90.00
_cell_angle_beta 90.00
_cell_angle_gamma 90.00
loop_
_atom_site_label
_atom_site_fract_x
_atom_site_fract_y
_atom_site_fract_z
_atom_site_occupancy
Li1 0.0000 0.0000 0.0000 1
Ta1 0.5000 0.5000 0.5000 1
P1 0.0000 0.0000 0.5000 1
S1 0.0000 0.5000 0.0000 1
```

Its formation energy without anion corrections is 0.65 eV per atom. As for the crystal system: tetragonal. The raw total energy is -4.83 eV per atom. Its relative energy among the computed polymorphs is 1056 meV/atom.